Material: DyMgAu
Method: DFT, PBE
State: optimized geometry

Cell and atoms, written as POSCAR:
```
DyMgAu
1.0
3.5207 0.0000 0.0000
0.0000 4.7432 0.0000
0.0000 -2.3716 4.1078
Dy Mg Au
1 1 1
Direct
0.6668 0.6667 0.3333
0.1667 0.3333 0.6667
0.1665 0.0000 0.0000
```

## Properties
As for the space-group type: P-6m2, No. 187.


Material: DyMg4Au2
Method: DFT, PBE
State: optimized geometry

Cell and atoms, written as POSCAR:
```
DyMg4Au2
1.0
4.2133 0.0000 0.0000
0.0000 8.5140 0.0000
0.0000 0.0000 8.5140
Dy Mg Au
2 8 4
Direct
0.0000 0.5000 0.5000
0.5000 0.0000 0.0000
0.0000 0.3373 0.0939
0.5000 0.4061 0.8373
0.5000 0.8373 0.4061
0.0000 0.6627 0.9061
0.5000 0.5939 0.1627
0.0000 0.0939 0.3373
0.0000 0.9061 0.6627
0.5000 0.1627 0.5939
0.0000 0.1944 0.8056
0.5000 0.6944 0.6944
0.0000 0.8056 0.1944
0.5000 0.3056 0.3056
```

## Properties
As for the space-group type: P4_2/mnm, No. 136.


Material: Dy2MgAu3
Method: DFT, PBE
State: optimized geometry

Cell and atoms, written as POSCAR:
```
Dy2MgAu3
1.0
3.5220 0.0000 0.0000
0.0000 3.5220 0.0000
0.0000 0.0000 10.5117
Dy Au Mg
2 3 1
Direct
0.5000 0.5000 0.1766
0.5000 0.5000 0.8234
0.0000 0.0000 0.0000
0.0000 0.0000 0.3459
0.0000 0.0000 0.6541
0.5000 0.5000 0.5000
```

## Properties
As for the space-group type: P4/mmm, No. 123. Its energy above the lowest structure with this stoichiometry is 31 meV per atom.


Material: DyMgAu4
Method: DFT, PBE
State: optimized geometry

Cell and atoms, written as POSCAR:
```
DyMgAu4
1.0
5.5767 0.0000 0.0000
2.7883 4.8295 0.0000
2.7883 1.6098 4.5533
Dy Au Mg
1 4 1
Direct
0.0000 0.0000 0.0000
0.6246 0.1261 0.6246
0.6246 0.6246 0.1261
0.6246 0.6246 0.6246
0.1261 0.6246 0.6246
0.2500 0.2500 0.2500
```

## Properties
As for the space-group type: F-43m, No. 216. Its energy above the lowest structure with this stoichiometry is 172 meV per atom.


Material: Dy4Mg3Au
Method: DFT, PBE
State: optimized geometry

Cell and atoms, written as POSCAR:
```
Dy4Mg3Au
1.0
-2.0451 -1.2136 -2.8708
-2.4389 -1.5148 2.3778
-7.7784 12.7570 0.1484
Dy Mg Au
4 3 1
Direct
0.0000 0.0000 0.8862
0.0000 0.0000 0.1138
0.0000 0.0000 0.3706
0.0000 0.0000 0.6294
0.5000 0.5000 0.2457
0.5000 0.5000 0.5000
0.5000 0.5000 0.7543
0.5000 0.5000 0.0000
```

## Properties
As for the space-group type: P4/mmm, No. 123.


Material: DyMgAu
Method: DFT, PBE
State: optimized geometry

Cell and atoms, written as POSCAR:
```
DyMgAu
1.0
3.4832 0.0000 0.0000
0.0000 3.4832 0.0000
-1.7416 -1.7416 5.7386
Au Mg Dy
1 1 1
Direct
0.2757 0.2757 0.5515
0.6420 0.6420 0.2840
0.9323 0.9323 0.8646
```

## Properties
As for the space-group type: I4mm, No. 107.


Material: DyMg5Au6
Method: DFT, PBE
State: optimized geometry

Cell and atoms, written as POSCAR:
```
DyMg5Au6
1.0
4.6401 0.0019 -1.0136
-0.0029 6.7884 -0.0007
-0.9349 0.0003 7.4749
Au Mg Dy
6 5 1
Direct
0.1649 0.7401 0.3416
0.8351 0.7401 0.6584
0.5000 0.7368 0.0000
0.8351 0.2599 0.6584
0.5000 0.2632 0.0000
0.1649 0.2599 0.3416
0.3311 0.0000 0.6589
0.6583 0.5000 0.3272
0.3417 0.5000 0.6728
0.0000 0.5000 0.0000
0.6689 0.0000 0.3411
0.0000 0.0000 0.0000
```

## Properties
As for the space-group type: P2/m, No. 10.


Material: DyMgAu
Method: DFT, PBE
State: optimized geometry

Cell and atoms, written as POSCAR:
```
DyMgAu
1.0
-2.2574 1.7309 4.2271
-1.6131 -4.3212 -2.1646
3.9387 -3.1754 3.4037
Au Mg Dy
2 2 2
Direct
0.3334 0.1666 0.2500
0.6666 0.8334 0.7500
0.0000 0.5000 0.5000
0.0000 0.5000 0.0000
0.6667 0.8333 0.2500
0.3333 0.1667 0.7500
```

## Properties
As for the space-group type: P6_3/mmc, No. 194.


Material: Dy3Mg4Au4
Method: DFT, PBE
State: optimized geometry

Cell and atoms, written as POSCAR:
```
Dy3Mg4Au4
1.0
0.7398 2.7772 -2.6662
0.7807 -5.6892 -5.7094
-8.4201 1.9849 2.6134
Mg Au Dy
4 4 3
Direct
0.3294 0.5189 0.6587
0.6706 0.4811 0.3413
0.3294 0.1399 0.6587
0.6706 0.8601 0.3413
0.7571 0.2571 0.5142
0.5000 0.2046 0.0000
0.5000 0.7954 0.0000
0.2429 0.7429 0.4858
0.0000 0.5000 0.0000
0.8899 0.8899 0.7797
0.1101 0.1101 0.2203
```

## Properties
As for the space-group type: Immm, No. 71.


Material: DyMg3Au2
Method: DFT, PBE
State: optimized geometry

Cell and atoms, written as POSCAR:
```
DyMg3Au2
1.0
4.3004 0.0000 0.0000
0.0000 7.1410 0.0000
0.0000 0.0000 8.4702
Au Mg Dy
4 6 2
Direct
0.0000 0.2426 0.6220
0.5000 0.7570 0.8786
0.5000 0.2570 0.1214
0.0000 0.7426 0.3780
0.5000 0.1414 0.8177
0.0000 0.3598 0.3009
0.0000 0.8598 0.6991
0.0000 0.4689 0.9193
0.0000 0.9689 0.0807
0.5000 0.6414 0.1823
0.5000 0.0303 0.4185
0.5000 0.5303 0.5815
```

## Properties
As for the space-group type: Pmc2_1, No. 26.


Material: DyMgAu2
Method: DFT, PBE
State: optimized geometry

Cell and atoms, written as POSCAR:
```
DyMgAu2
1.0
-2.3580 -0.0997 -2.5491
-1.3460 -2.9001 1.3585
-4.3096 3.7981 3.8379
Dy Mg Au
1 1 2
Direct
0.5000 0.5000 0.5000
0.5000 0.5000 0.0000
0.0000 0.0000 0.7661
0.0000 0.0000 0.2339
```

## Properties
As for the space-group type: P4/mmm, No. 123.


Material: DyMgAu
Method: DFT, PBE
State: optimized geometry

Cell and atoms, written as POSCAR:
```
DyMgAu
1.0
-3.1245 -2.4141 -0.6458
2.9574 -5.1409 4.9088
-4.7624 5.4770 2.5679
Mg Dy Au
3 3 3
Direct
0.0000 0.0000 0.2493
0.0000 0.7507 0.7507
0.0000 0.2493 0.0000
0.5000 0.4100 0.4100
0.5000 0.5900 0.0000
0.5000 0.0000 0.5900
0.5000 0.0000 0.0000
0.0000 0.6667 0.3333
0.0000 0.3333 0.6667
```

## Properties
As for the space-group type: P-62m, No. 189.


no.,DFT formation energy (eV per atom)
1,-0.5152
2,-0.4790
3,-0.7720
4,-0.4799
5,-0.2761
6,-0.5068
7,-0.6470
8,-0.6243
9,-0.6453
10,-0.5942
11,-0.7332
12,-0.6845